# 1
Crystalline CdMo2Se at its relaxed geometry. Source: the Alexandria database, functional PBE-GGA.

Computed properties:
As for the space-group type: R3m, No. 160. The calculation puts the uncorrected formation energy at 0.15 eV per atom. The calculation puts the density of states at the Fermi level at 0.41 states/eV per atom.

```
CdMo2Se
1.0
-0.6991 -0.1363 9.0221
0.6857 -2.9474 8.5292
2.4520 -0.3184 8.7058
Mo Cd Se
2 1 1
Direct
0.9870 0.9870 0.9870
0.2535 0.2535 0.2535
0.7448 0.7448 0.7448
0.5147 0.5147 0.5147
```

***

# 2
Crystalline CeDy4Te6 at its relaxed geometry. Source: the Alexandria database, functional PBE-GGA.

Computed properties:
As for the space-group type: Cmcm, No. 63. The calculation puts the uncorrected formation energy at -1.36 eV per atom. The calculation puts the density of states at the Fermi level at 0.95 states/eV per atom.

```
CeDy4Te6
1.0
-1.3728 -3.6497 -1.8640
-0.2151 -1.1271 7.3759
-20.9313 7.5922 0.5497
Ce Te Dy
2 12 8
Direct
0.3448 0.6895 0.7500
0.6552 0.3105 0.2500
0.7663 0.5326 0.0927
0.6796 0.3592 0.7500
0.0507 0.1015 0.1633
0.3204 0.6408 0.2500
0.2337 0.4674 0.5927
0.9493 0.8985 0.8367
0.9493 0.8985 0.6633
0.5000 0.0000 0.5000
0.2337 0.4674 0.9073
0.0507 0.1015 0.3367
0.7663 0.5326 0.4073
0.5000 0.0000 0.0000
0.4106 0.8211 0.3753
0.5894 0.1789 0.6247
0.4106 0.8211 0.1247
0.5894 0.1789 0.8753
0.8564 0.7129 0.9641
0.1436 0.2871 0.4641
0.8564 0.7129 0.5359
0.1436 0.2871 0.0359
```